Entry from Alexandria via LeMat-Bulk: crystalline BiRu2WF at its relaxed geometry (PBE+U).

Computed properties:
The space group is P4/mmm, No. 123. The value obtained for the density is 7.05 Mg/m³. The uncorrected energy is -20.4 eV/cell.

Cell: 5.037 5.699 5.037 Å, 90.00 90.00 90.00°
Site moments in Bohr magnetons follow the coordinates.
Sites, in units of the cell vectors:
Ru: 0.000 0.000 0.500  1.24
Ru: 0.500 0.000 0.000  1.30
Bi: 0.000 0.000 0.000  -0.13
W: 0.000 0.500 0.000  1.46
F: 0.500 0.500 0.500  0.07